# 1
YTc5: relaxed, GGA-PBE.

Results
* total moment: 0.0 Bohr magnetons per cell
* energy above the lowest structure with this stoichiometry: 102 meV/atom
* uncorrected energy: -9.507 eV per atom
* space group: Amm2
* energy relative to the elements: 0.21 eV per atom

a = 4.164 Å, b = 6.232 Å, c = 6.232 Å
α = 38.88°, β = 90.00°, γ = 90.00°
Fractional coordinates of all 6 atoms:
1 Y 0.000 0.000 0.000
2 Tc 0.000 0.308 0.308
3 Tc 0.000 0.688 0.688
4 Tc 0.500 0.182 0.182
5 Tc 0.500 0.477 0.477
6 Tc 0.500 0.811 0.811

=====

# 2
KHg2HPd: relaxed, GGA-PBE.

Results
* total moment: 0.0 Bohr magnetons per cell
* uncorrected energy: -2.149 eV per atom
* space group: P4/mmm

a = 5.558 Å, b = 5.558 Å, c = 3.653 Å
α = 90.00°, β = 90.00°, γ = 90.00°
Fractional coordinates of all 5 atoms:
1 K 0.000 0.000 0.000
2 Hg 0.000 0.500 0.500
3 Hg 0.500 0.000 0.500
4 H 0.500 0.500 0.000
5 Pd 0.500 0.500 0.500

=====

# 3
KPa2Se4: relaxed, GGA-PBE.

Results
* total moment: 4.2 Bohr magnetons per cell
* energy above the lowest structure with this stoichiometry: 0 meV/atom
* energy relative to the elements, uncorrected: -1.341 eV per atom
* uncorrected energy: -6.202 eV per atom
* space group: Cmcm

a = 7.201 Å, b = 7.201 Å, c = 14.323 Å
α = 90.00°, β = 90.00°, γ = 146.31°
Fractional coordinates of all 14 atoms:
1 K 0.109 0.891 0.750
2 K 0.891 0.109 0.250
3 Pa 0.370 0.630 0.563
4 Pa 0.370 0.630 0.937
5 Pa 0.630 0.370 0.063
6 Pa 0.630 0.370 0.437
7 Se 0.000 0.000 0.000
8 Se 0.000 0.000 0.500
9 Se 0.265 0.735 0.111
10 Se 0.265 0.735 0.389
11 Se 0.428 0.572 0.750
12 Se 0.572 0.428 0.250
13 Se 0.735 0.265 0.611
14 Se 0.735 0.265 0.889

=====

# 4
MnInNiRu: relaxed, GGA-PBE.

Results
* total moment: 4.1 Bohr magnetons per cell
* uncorrected energy: -6.716 eV per atom
* space group: F-43m
* energy relative to the elements: 0.03 eV per atom

a = 4.368 Å, b = 4.368 Å, c = 4.368 Å
α = 60.00°, β = 60.00°, γ = 60.00°
Fractional coordinates of all 4 atoms:
1 Mn 0.000 0.000 0.000
2 In 0.500 0.500 0.500
3 Ni 0.250 0.250 0.250
4 Ru 0.750 0.750 0.750

=====

# 5
CsZnGa2Tc: relaxed, GGA-PBE.

Results
* total moment: 0.0 Bohr magnetons per cell
* uncorrected energy: -3.623 eV per atom
* space group: P4/mmm
* energy relative to the elements: 0.09 eV per atom

a = 4.979 Å, b = 4.979 Å, c = 5.158 Å
α = 90.00°, β = 90.00°, γ = 90.00°
Fractional coordinates of all 5 atoms:
1 Cs 0.000 0.000 0.000
2 Zn 0.500 0.500 0.000
3 Ga 0.000 0.500 0.500
4 Ga 0.500 0.000 0.500
5 Tc 0.500 0.500 0.500

=====

# 6
Nd2Sm7Ho3: relaxed, GGA-PBE.

Results
* total moment: 0.0 Bohr magnetons per cell
* energy above the lowest structure with this stoichiometry: 0 meV/atom
* uncorrected energy: -4.623 eV per atom
* space group: P2/m
* energy relative to the elements: 0.07 eV per atom

a = 6.430 Å, b = 3.562 Å, c = 17.646 Å
α = 90.00°, β = 95.99°, γ = 90.00°
Fractional coordinates of all 12 atoms:
1 Nd 0.059 0.000 0.171
2 Nd 0.941 0.000 0.829
3 Sm 0.000 0.500 0.500
4 Sm 0.227 0.000 0.669
5 Sm 0.258 0.000 0.997
6 Sm 0.277 0.500 0.336
7 Sm 0.723 0.500 0.664
8 Sm 0.742 0.000 0.003
9 Sm 0.773 0.000 0.331
10 Ho 0.453 0.500 0.841
11 Ho 0.500 0.000 0.500
12 Ho 0.547 0.500 0.159

=====

# 7
Mg3AsPb: relaxed, GGA-PBE.

Results
* total moment: 0.0 Bohr magnetons per cell
* energy above the lowest structure with this stoichiometry: 0 meV/atom
* uncorrected energy: -2.697 eV per atom
* space group: Pm-3m
* energy relative to the elements: -0.07 eV per atom

a = 5.066 Å, b = 5.066 Å, c = 5.066 Å
α = 90.00°, β = 90.00°, γ = 90.00°
Fractional coordinates of all 5 atoms:
1 Mg 0.000 0.000 0.500
2 Mg 0.000 0.500 0.000
3 Mg 0.500 0.000 0.000
4 As 0.000 0.000 0.000
5 Pb 0.500 0.500 0.500

=====

# 8
Zn2CrRh: relaxed, GGA-PBE.

Results
* total moment: 3.1 Bohr magnetons per cell
* energy above the lowest structure with this stoichiometry: 71 meV/atom
* uncorrected energy: -4.943 eV per atom
* space group: C2/m
* energy relative to the elements: -0.06 eV per atom

a = 4.653 Å, b = 4.653 Å, c = 4.589 Å
α = 102.59°, β = 102.59°, γ = 35.94°
Fractional coordinates of all 4 atoms:
1 Zn 0.247 0.247 0.244
2 Zn 0.753 0.753 0.756
3 Cr 0.000 0.000 0.500
4 Rh 0.500 0.500 0.000

=====

# 9
PrHoSn2: relaxed, GGA-PBE.

Results
* total moment: 0.0 Bohr magnetons per cell
* uncorrected energy: -4.862 eV per atom
* space group: R-3m
* energy relative to the elements: -0.52 eV per atom

a = 8.851 Å, b = 8.851 Å, c = 8.851 Å
α = 26.74°, β = 26.74°, γ = 26.74°
Fractional coordinates of all 4 atoms:
1 Pr 0.000 0.000 0.000
2 Ho 0.500 0.500 0.500
3 Sn 0.247 0.247 0.247
4 Sn 0.753 0.753 0.753

=====

# 10
NaBe2Au3: relaxed, GGA-PBE.

Results
* total moment: 0.0 Bohr magnetons per cell
* uncorrected energy: -3.303 eV per atom
* space group: Cmcm
* energy relative to the elements: -0.20 eV per atom

a = 6.888 Å, b = 6.888 Å, c = 5.098 Å
α = 90.00°, β = 90.00°, γ = 57.23°
Fractional coordinates of all 12 atoms:
1 Na 0.139 0.861 0.750
2 Na 0.861 0.139 0.250
3 Be 0.338 0.338 0.000
4 Be 0.338 0.338 0.500
5 Be 0.662 0.662 0.000
6 Be 0.662 0.662 0.500
7 Au 0.017 0.389 0.750
8 Au 0.389 0.017 0.250
9 Au 0.395 0.605 0.250
10 Au 0.605 0.395 0.750
11 Au 0.611 0.983 0.750
12 Au 0.983 0.611 0.250

=====

# 11
CsSeO2F: relaxed, GGA-PBE.

Results
* total moment: 0.0 Bohr magnetons per cell
* energy relative to the elements, uncorrected: -1.082 eV per atom
* uncorrected energy: -4.307 eV per atom
* space group: P4/mmm

a = 3.984 Å, b = 3.984 Å, c = 5.102 Å
α = 90.00°, β = 90.00°, γ = 90.00°
Fractional coordinates of all 5 atoms:
1 Cs 0.000 0.000 0.000
2 Se 0.500 0.500 0.500
3 O 0.000 0.500 0.500
4 O 0.500 0.000 0.500
5 F 0.500 0.500 0.000

=====

# 12
TbNdYCd: relaxed, GGA-PBE.

Results
* total moment: 0.0 Bohr magnetons per cell
* energy above the lowest structure with this stoichiometry: 0 meV/atom
* uncorrected energy: -4.353 eV per atom
* space group: P4mm
* energy relative to the elements: -0.16 eV per atom

a = 3.649 Å, b = 3.649 Å, c = 9.044 Å
α = 90.00°, β = 90.00°, γ = 90.00°
Fractional coordinates of all 4 atoms:
1 Tb 0.000 0.000 0.000
2 Nd 0.500 0.500 0.278
3 Y 0.000 0.000 0.559
4 Cd 0.500 0.500 0.778

=====

# 13
Sr3Cd2Cu: relaxed, GGA-PBE.

Results
* total moment: 0.0 Bohr magnetons per cell
* uncorrected energy: -2.052 eV per atom
* space group: Pnma
* energy relative to the elements: -0.22 eV per atom

a = 13.162 Å, b = 4.745 Å, c = 13.085 Å
α = 90.00°, β = 90.00°, γ = 90.00°
Fractional coordinates of all 24 atoms:
1 Sr 0.050 0.250 0.126
2 Sr 0.114 0.750 0.556
3 Sr 0.221 0.250 0.797
4 Sr 0.279 0.750 0.297
5 Sr 0.386 0.250 0.056
6 Sr 0.450 0.750 0.626
7 Sr 0.550 0.250 0.374
8 Sr 0.614 0.750 0.944
9 Sr 0.721 0.250 0.703
10 Sr 0.779 0.750 0.203
11 Sr 0.886 0.250 0.444
12 Sr 0.950 0.750 0.874
13 Cd 0.023 0.750 0.313
14 Cd 0.203 0.750 0.996
15 Cd 0.297 0.250 0.496
16 Cd 0.477 0.250 0.813
17 Cd 0.523 0.750 0.187
18 Cd 0.703 0.750 0.504
19 Cd 0.797 0.250 0.004
20 Cd 0.977 0.250 0.687
21 Cu 0.122 0.250 0.372
22 Cu 0.378 0.750 0.872
23 Cu 0.622 0.250 0.128
24 Cu 0.878 0.750 0.628

=====

# 14
K3Na7P4: relaxed, GGA-PBE.

Results
* total moment: 2.0 Bohr magnetons per cell
* uncorrected energy: -2.648 eV per atom
* space group: C2/m
* energy relative to the elements: -0.21 eV per atom

a = 9.235 Å, b = 9.235 Å, c = 11.485 Å
α = 127.49°, β = 127.49°, γ = 31.00°
Fractional coordinates of all 14 atoms:
1 K 0.000 0.000 0.000
2 K 0.303 0.303 0.274
3 K 0.697 0.697 0.726
4 Na 0.000 0.000 0.500
5 Na 0.168 0.168 0.403
6 Na 0.308 0.308 0.971
7 Na 0.489 0.489 0.742
8 Na 0.511 0.511 0.258
9 Na 0.692 0.692 0.029
10 Na 0.832 0.832 0.597
11 P 0.095 0.095 0.810
12 P 0.322 0.322 0.727
13 P 0.678 0.678 0.273
14 P 0.905 0.905 0.190

=====

# 15
Tm4ZnHg7: relaxed, GGA-PBE.

Results
* total moment: 0.0 Bohr magnetons per cell
* uncorrected energy: -2.010 eV per atom
* space group: C2/m
* energy relative to the elements: -0.24 eV per atom

a = 6.889 Å, b = 6.889 Å, c = 10.611 Å
α = 117.60°, β = 117.60°, γ = 44.32°
Fractional coordinates of all 12 atoms:
1 Tm 0.078 0.078 0.274
2 Tm 0.233 0.233 0.809
3 Tm 0.767 0.767 0.191
4 Tm 0.922 0.922 0.726
5 Zn 0.500 0.500 0.500
6 Hg 0.000 0.000 0.500
7 Hg 0.141 0.141 0.036
8 Hg 0.308 0.308 0.576
9 Hg 0.425 0.425 0.152
10 Hg 0.575 0.575 0.848
11 Hg 0.692 0.692 0.424
12 Hg 0.859 0.859 0.964

=====

# 16
RbLi2AgO: relaxed, GGA-PBE.

Results
* total moment: 0.2 Bohr magnetons per cell
* energy relative to the elements, uncorrected: 0.200 eV per atom
* uncorrected energy: -2.321 eV per atom
* space group: P4/mmm

a = 4.849 Å, b = 4.849 Å, c = 6.758 Å
α = 90.00°, β = 90.00°, γ = 90.00°
Fractional coordinates of all 5 atoms:
1 Rb 0.000 0.000 0.000
2 Li 0.000 0.500 0.500
3 Li 0.500 0.000 0.500
4 Ag 0.000 0.000 0.500
5 O 0.500 0.500 0.000

=====

# 17
Ta2ZnCl: relaxed, GGA-PBE.

Results
* total moment: 0.0 Bohr magnetons per cell
* energy above the lowest structure with this stoichiometry: 723 meV/atom
* energy relative to the elements, uncorrected: 0.662 eV per atom
* uncorrected energy: -6.045 eV per atom
* space group: I-4m2

a = 5.269 Å, b = 5.269 Å, c = 5.269 Å
α = 136.34°, β = 136.34°, γ = 63.46°
Fractional coordinates of all 4 atoms:
1 Ta 0.000 0.000 0.000
2 Ta 0.750 0.250 0.500
3 Zn 0.250 0.750 0.500
4 Cl 0.500 0.500 0.000

=====

# 18
YHo3Hg: relaxed, GGA-PBE.

Results
* total moment: 0.0 Bohr magnetons per cell
* uncorrected energy: -4.221 eV per atom
* space group: C2/m
* energy relative to the elements: -0.12 eV per atom

a = 6.662 Å, b = 6.662 Å, c = 7.874 Å
α = 107.13°, β = 107.13°, γ = 66.84°
Fractional coordinates of all 10 atoms:
1 Y 0.060 0.060 0.240
2 Y 0.940 0.940 0.760
3 Ho 0.090 0.589 0.359
4 Ho 0.411 0.910 0.641
5 Ho 0.439 0.439 0.759
6 Ho 0.561 0.561 0.241
7 Ho 0.589 0.090 0.359
8 Ho 0.910 0.411 0.641
9 Hg 0.252 0.252 0.000
10 Hg 0.748 0.748 0.000

=====

# 19
TeP4C2: relaxed, GGA-PBE.

Results
* total moment: 0.0 Bohr magnetons per cell
* energy relative to the elements, uncorrected: 1.781 eV per atom
* uncorrected energy: -4.395 eV per atom
* space group: I4/mmm

a = 7.528 Å, b = 7.528 Å, c = 7.528 Å
α = 142.13°, β = 142.13°, γ = 54.64°
Fractional coordinates of all 7 atoms:
1 Te 0.000 0.000 0.000
2 P 0.000 0.500 0.500
3 P 0.277 0.277 0.000
4 P 0.500 0.000 0.500
5 P 0.723 0.723 0.000
6 C 0.400 0.400 0.000
7 C 0.600 0.600 0.000

=====

# 20
TbSmEuHo: relaxed, GGA-PBE.

Results
* total moment: 8.2 Bohr magnetons per cell
* uncorrected energy: -5.893 eV per atom
* space group: F-43m
* energy relative to the elements: 0.16 eV per atom

a = 5.770 Å, b = 5.770 Å, c = 5.770 Å
α = 60.00°, β = 60.00°, γ = 60.00°
Fractional coordinates of all 4 atoms:
1 Tb 0.000 0.000 0.000
2 Sm 0.500 0.500 0.500
3 Eu 0.250 0.250 0.250
4 Ho 0.750 0.750 0.750

=====

# 21
DyAlCu: relaxed, GGA-PBE.

Results
* total moment: 0.0 Bohr magnetons per cell
* uncorrected energy: -4.606 eV per atom
* space group: P-62m
* energy relative to the elements: -0.46 eV per atom

a = 7.177 Å, b = 7.177 Å, c = 3.861 Å
α = 90.00°, β = 90.00°, γ = 120.00°
Fractional coordinates of all 9 atoms:
1 Dy 0.000 0.416 0.000
2 Dy 0.416 0.000 0.000
3 Dy 0.584 0.584 0.000
4 Al 0.000 0.761 0.500
5 Al 0.239 0.239 0.500
6 Al 0.761 0.000 0.500
7 Cu 0.000 0.000 0.000
8 Cu 0.333 0.667 0.500
9 Cu 0.667 0.333 0.500

=====

# 22
AcLaBiO2: relaxed, GGA-PBE.

Results
* total moment: 0.0 Bohr magnetons per cell
* energy relative to the elements, uncorrected: -2.646 eV per atom
* uncorrected energy: -7.213 eV per atom
* space group: I4mm

a = 7.845 Å, b = 7.845 Å, c = 7.845 Å
α = 149.29°, β = 149.29°, γ = 43.98°
Fractional coordinates of all 5 atoms:
1 Ac 0.000 0.000 0.000
2 La 0.672 0.672 0.000
3 Bi 0.334 0.334 0.000
4 O 0.091 0.591 0.500
5 O 0.591 0.091 0.500

=====

# 23
NiOsBr2: relaxed, GGA-PBE.

Results
* total moment: 2.6 Bohr magnetons per cell
* energy above the lowest structure with this stoichiometry: 838 meV/atom
* energy relative to the elements, uncorrected: 1.285 eV per atom
* uncorrected energy: -3.804 eV per atom
* space group: I-4m2

a = 6.589 Å, b = 6.589 Å, c = 6.589 Å
α = 148.20°, β = 148.20°, γ = 45.59°
Fractional coordinates of all 4 atoms:
1 Ni 0.000 0.000 0.000
2 Os 0.250 0.750 0.500
3 Br 0.500 0.500 0.000
4 Br 0.750 0.250 0.500

=====

# 24
Sm7Sb2Ir2: relaxed, GGA-PBE.

Results
* total moment: 0.6 Bohr magnetons per cell
* energy relative to the elements, uncorrected: -0.722 eV per atom
* uncorrected energy: -6.086 eV per atom
* space group: Imm2

a = 9.579 Å, b = 9.579 Å, c = 9.579 Å
α = 155.33°, β = 65.83°, γ = 120.05°
Fractional coordinates of all 11 atoms:
1 Sm 0.000 0.000 0.000
2 Sm 0.287 0.412 0.875
3 Sm 0.305 0.619 0.685
4 Sm 0.537 0.412 0.125
5 Sm 0.612 0.258 0.354
6 Sm 0.904 0.258 0.646
7 Sm 0.934 0.619 0.315
8 Sb 0.253 0.753 0.500
9 Sb 0.670 0.670 0.000
10 Ir 0.168 0.927 0.241
11 Ir 0.686 0.927 0.759

=====

# 25
TlZnMo2: relaxed, GGA-PBE.

Results
* total moment: 0.0 Bohr magnetons per cell
* energy above the lowest structure with this stoichiometry: 413 meV/atom
* uncorrected energy: -5.577 eV per atom
* space group: I-42d
* energy relative to the elements: 0.75 eV per atom

a = 10.402 Å, b = 10.402 Å, c = 10.402 Å
α = 158.62°, β = 158.62°, γ = 30.41°
Fractional coordinates of all 8 atoms:
1 Tl 0.000 0.000 0.000
2 Tl 0.750 0.250 0.500
3 Zn 0.250 0.750 0.500
4 Zn 0.500 0.500 0.000
5 Mo 0.159 0.625 0.034
6 Mo 0.375 0.409 0.534
7 Mo 0.591 0.125 0.966
8 Mo 0.875 0.841 0.466